This record from the Alexandria database describes a relaxed structure of SmDy6Ho2Mg. The functional is GGA-PBE.

Output
The value obtained for the volume is 31.31 Å³ per atom. Its mass density is 7.85 g cm⁻³. As for the total energy: -83.9 eV per cell. The formation energy from the elements is 0.12 eV/atom.

Unit cell a=10.8620 b=10.8620 c=6.5906 alpha=94.11 beta=94.11 gamma=125.38
With the nearest neighbours (Å) after each atom.
Sites, in units of the cell vectors:
Sm 0.0099 0.9901 0.7500  4 Dy 3.22-3.41, 2 Sm 3.32, 4 Ho 3.39-3.58
Sm 0.9901 0.0099 0.2500  4 Dy 3.22-3.41, 2 Sm 3.32, 4 Ho 3.39-3.58
Dy 0.0785 0.7890 0.4647  2 Sm 3.22-3.41, 1 Mg 3.30, 5 Dy 3.30-3.49, 2 Ho 3.44-3.58
Dy 0.0857 0.5672 0.7817  6 Dy 3.33-3.58, 2 Mg 3.36-3.38, 1 Ho 3.46
Dy 0.2110 0.9215 0.0353  2 Sm 3.22-3.41, 1 Mg 3.30, 5 Dy 3.30-3.49, 2 Ho 3.44-3.58
Dy 0.3071 0.4766 0.5198  1 Mg 3.24, 3 Dy 3.44-3.58, 4 Ho 3.45-3.62
Dy 0.4328 0.9143 0.7183  6 Dy 3.33-3.58, 2 Mg 3.36-3.38, 1 Ho 3.46
Dy 0.4766 0.3071 0.0198  1 Mg 3.24, 3 Dy 3.44-3.58, 4 Ho 3.45-3.62
Dy 0.5234 0.6929 0.9802  1 Mg 3.24, 3 Dy 3.44-3.58, 4 Ho 3.45-3.62
Dy 0.5672 0.0857 0.2817  6 Dy 3.33-3.58, 2 Mg 3.36-3.38, 1 Ho 3.46
Dy 0.6929 0.5234 0.4802  1 Mg 3.24, 3 Dy 3.44-3.58, 4 Ho 3.45-3.62
Dy 0.7890 0.0785 0.9647  2 Sm 3.22-3.41, 1 Mg 3.30, 5 Dy 3.30-3.49, 2 Ho 3.44-3.58
Dy 0.9143 0.4328 0.2183  6 Dy 3.33-3.58, 2 Mg 3.36-3.38, 1 Ho 3.46
Dy 0.9215 0.2110 0.5353  2 Sm 3.22-3.41, 1 Mg 3.30, 5 Dy 3.30-3.49, 2 Ho 3.44-3.58
Ho 0.1773 0.3453 0.0032  2 Sm 3.39-3.58, 7 Dy 3.44-3.62, 1 Mg 3.57
Ho 0.3453 0.1773 0.5032  2 Sm 3.39-3.58, 7 Dy 3.44-3.62, 1 Mg 3.57
Ho 0.6547 0.8227 0.4968  2 Sm 3.39-3.58, 7 Dy 3.44-3.62, 1 Mg 3.57
Ho 0.8227 0.6547 0.9968  2 Sm 3.39-3.58, 7 Dy 3.44-3.62, 1 Mg 3.57
Mg 0.2928 0.7072 0.2500  8 Dy 3.24-3.38, 2 Ho 3.57
Mg 0.7072 0.2928 0.7500  8 Dy 3.24-3.38, 2 Ho 3.57

This record from the Alexandria database describes a relaxed structure of Sm6Dy2Ho3Mg. The functional is GGA-PBE.

Output
The value obtained for the volume is 31.80 Å³ per atom. Its mass density is 7.60 g cm⁻³. As for the total energy: -52.6 eV per cell. The formation energy from the elements is 0.02 eV/atom.

Unit cell a=6.1812 b=6.1812 c=11.7190 alpha=95.06 beta=95.06 gamma=120.03
With the nearest neighbours (Å) after each atom.
Sites, in units of the cell vectors:
Sm 0.0825 0.4149 0.2491  1 Mg 3.53, 2 Dy 3.54, 3 Ho 3.55-3.56, 6 Sm 3.56-3.57
Sm 0.2501 0.2501 0.7497  3 Ho 3.54, 2 Dy 3.55, 1 Mg 3.55, 6 Sm 3.56-3.57
Sm 0.4149 0.0825 0.2491  1 Mg 3.53, 2 Dy 3.54, 3 Ho 3.55-3.56, 6 Sm 3.56-3.57
Sm 0.5851 0.9175 0.7509  1 Mg 3.53, 2 Dy 3.54, 3 Ho 3.55-3.56, 6 Sm 3.56-3.57
Sm 0.7499 0.7499 0.2503  3 Ho 3.54, 2 Dy 3.55, 1 Mg 3.55, 6 Sm 3.56-3.57
Sm 0.9175 0.5851 0.7509  1 Mg 3.53, 2 Dy 3.54, 3 Ho 3.55-3.56, 6 Sm 3.56-3.57
Dy 0.3334 0.6666 0.0000  6 Sm 3.54-3.55, 3 Mg 3.57, 3 Dy 3.57
Dy 0.6666 0.3334 0.0000  6 Sm 3.54-3.55, 3 Mg 3.57, 3 Dy 3.57
Ho 0.1663 0.8337 0.5000  6 Sm 3.54-3.56, 6 Ho 3.56-3.57
Ho 0.5000 0.5000 0.5000  6 Sm 3.54-3.55, 6 Ho 3.57
Ho 0.8337 0.1663 0.5000  6 Sm 3.54-3.56, 6 Ho 3.56-3.57
Mg 0.0000 0.0000 0.0000  6 Sm 3.53-3.55, 6 Dy 3.57

This record from the Alexandria database describes a relaxed structure of Sm2Dy5HoMg. The functional is GGA-PBE.

Output
The value obtained for the volume is 31.74 Å³ per atom. Its mass density is 7.57 g cm⁻³. As for the total energy: -75.5 eV per cell. The formation energy from the elements is 0.10 eV/atom.

Unit cell a=10.4034 b=10.4034 c=10.4860 alpha=90.00 beta=90.00 gamma=149.77
With the nearest neighbours (Å) after each atom.
Sites, in units of the cell vectors:
Sm 0.1150 0.8850 0.5000  9 Dy 3.41-3.65, 1 Ho 3.53
Sm 0.1151 0.8849 0.9224  9 Dy 3.41-3.65, 1 Ho 3.53
Sm 0.8850 0.1150 0.0000  9 Dy 3.41-3.65, 1 Ho 3.53
Sm 0.8849 0.1151 0.4224  9 Dy 3.41-3.65, 1 Ho 3.53
Dy 0.0140 0.9860 0.2111  2 Mg 3.17, 2 Sm 3.41
Dy 0.2889 0.7111 0.5122  1 Mg 3.12, 2 Dy 3.32, 2 Ho 3.42, 2 Sm 3.46
Dy 0.2895 0.7105 0.9098  1 Mg 3.13, 2 Dy 3.32, 2 Ho 3.42, 2 Sm 3.45
Dy 0.3822 0.6178 0.2111  4 Sm 3.50, 6 Dy 3.53-3.79, 1 Ho 3.55
Dy 0.5003 0.4997 0.4605  2 Mg 3.24-3.25, 2 Dy 3.53, 4 Sm 3.58-3.59
Dy 0.4997 0.5003 0.9605  2 Mg 3.24-3.25, 2 Dy 3.53, 4 Sm 3.58-3.59
Dy 0.6178 0.3822 0.7111  4 Sm 3.50, 6 Dy 3.53-3.79, 1 Ho 3.55
Dy 0.7105 0.2895 0.4098  1 Mg 3.13, 2 Dy 3.32, 2 Ho 3.42, 2 Sm 3.45
Dy 0.7111 0.2889 0.0122  1 Mg 3.12, 2 Dy 3.32, 2 Ho 3.42, 2 Sm 3.46
Dy 0.9860 0.0140 0.7111  2 Mg 3.17, 2 Sm 3.41
Ho 0.2053 0.7947 0.2111  7 Dy 3.42-3.58, 2 Mg 3.50, 2 Sm 3.53
Ho 0.7947 0.2053 0.7111  7 Dy 3.42-3.58, 2 Mg 3.50, 2 Sm 3.53
Mg 0.4048 0.5952 0.7096  6 Dy 3.12-3.25
Mg 0.5952 0.4048 0.2096  6 Dy 3.12-3.25

This record from the Alexandria database describes a relaxed structure of Sm2DyHo5Mg. The functional is GGA-PBE.

Output
The value obtained for the volume is 31.52 Å³ per atom. Its mass density is 7.68 g cm⁻³. As for the total energy: -75.2 eV per cell. The formation energy from the elements is 0.10 eV/atom.

Unit cell a=10.3950 b=10.3950 c=10.4439 alpha=90.00 beta=90.00 gamma=149.82
With the nearest neighbours (Å) after each atom.
Sites, in units of the cell vectors:
Sm 0.1151 0.8849 0.5000  9 Ho 3.40-3.64, 1 Dy 3.52
Sm 0.1152 0.8848 0.9227  9 Ho 3.40-3.64, 1 Dy 3.52
Sm 0.8849 0.1151 0.0000  9 Ho 3.40-3.64, 1 Dy 3.52
Sm 0.8848 0.1152 0.4227  9 Ho 3.40-3.64, 1 Dy 3.52
Dy 0.2057 0.7943 0.2112  7 Ho 3.41-3.57, 2 Mg 3.50, 2 Sm 3.52
Dy 0.7943 0.2057 0.7112  7 Ho 3.41-3.57, 2 Mg 3.50, 2 Sm 3.52
Ho 0.0135 0.9865 0.2113  2 Mg 3.16, 2 Sm 3.40
Ho 0.2888 0.7112 0.5122  1 Mg 3.11, 2 Ho 3.31, 2 Dy 3.41, 2 Sm 3.45
Ho 0.2896 0.7104 0.9100  1 Mg 3.12, 2 Ho 3.31, 2 Dy 3.41, 2 Sm 3.45
Ho 0.3828 0.6172 0.2113  4 Sm 3.49, 6 Ho 3.51-3.77, 1 Dy 3.56
Ho 0.5004 0.4996 0.4606  2 Mg 3.23-3.24, 2 Ho 3.51, 4 Sm 3.58-3.59
Ho 0.4996 0.5004 0.9606  2 Mg 3.23-3.24, 2 Ho 3.51, 4 Sm 3.58-3.59
Ho 0.6172 0.3828 0.7113  4 Sm 3.49, 6 Ho 3.51-3.77, 1 Dy 3.56
Ho 0.7104 0.2896 0.4100  1 Mg 3.12, 2 Ho 3.31, 2 Dy 3.41, 2 Sm 3.45
Ho 0.7112 0.2888 0.0122  1 Mg 3.11, 2 Ho 3.31, 2 Dy 3.41, 2 Sm 3.45
Ho 0.9865 0.0135 0.7113  2 Mg 3.16, 2 Sm 3.40
Mg 0.4049 0.5951 0.7097  6 Ho 3.11-3.24
Mg 0.5951 0.4049 0.2097  6 Ho 3.11-3.24

This record from the Alexandria database describes a relaxed structure of SmDy2Ho2Mg. The functional is GGA-PBE.

Output
The value obtained for the volume is 36.31 Å³ per atom. Its mass density is 6.32 g cm⁻³. As for the total energy: -43.4 eV per cell. The formation energy from the elements is 0.49 eV/atom.

Unit cell a=10.3412 b=11.7092 c=3.5979 alpha=90.00 beta=90.00 gamma=90.00
With the nearest neighbours (Å) after each atom.
Sites, in units of the cell vectors:
Sm 0.0000 0.0000 0.0000  4 Ho 3.28, 4 Dy 3.33, 2 Sm 3.60
Sm 0.5000 0.5000 0.5000  4 Ho 3.28, 4 Dy 3.33, 2 Sm 3.60
Dy 0.0896 0.2263 0.5000  2 Sm 3.33, 1 Mg 3.34, 2 Ho 3.40, 2 Dy 3.60
Dy 0.4104 0.7263 0.0000  2 Sm 3.33, 1 Mg 3.34, 2 Ho 3.40, 2 Dy 3.60
Dy 0.5896 0.2737 0.0000  2 Sm 3.33, 1 Mg 3.34, 2 Ho 3.40, 2 Dy 3.60
Dy 0.9104 0.7737 0.5000  2 Sm 3.33, 1 Mg 3.34, 2 Ho 3.40, 2 Dy 3.60
Ho 0.2474 0.4297 0.0000  2 Mg 3.23, 2 Sm 3.28, 2 Dy 3.40, 2 Ho 3.60
Ho 0.2526 0.9297 0.5000  2 Mg 3.23, 2 Sm 3.28, 2 Dy 3.40, 2 Ho 3.60
Ho 0.7474 0.0703 0.5000  2 Mg 3.23, 2 Sm 3.28, 2 Dy 3.40, 2 Ho 3.60
Ho 0.7526 0.5703 0.0000  2 Mg 3.23, 2 Sm 3.28, 2 Dy 3.40, 2 Ho 3.60
Mg 0.0000 0.5000 0.5000  4 Ho 3.23, 2 Dy 3.34, 2 Mg 3.60
Mg 0.5000 0.0000 0.0000  4 Ho 3.23, 2 Dy 3.34, 2 Mg 3.60

This record from the Alexandria database describes a relaxed structure of Sm3Dy6Ho2Mg. The functional is GGA-PBE.

Output
The value obtained for the volume is 31.36 Å³ per atom. Its mass density is 7.86 g cm⁻³. As for the total energy: -52.1 eV per cell. The formation energy from the elements is 0.03 eV/atom.

Unit cell a=6.1445 b=6.1445 c=11.6927 alpha=95.05 beta=95.05 gamma=120.02
With the nearest neighbours (Å) after each atom.
Sites, in units of the cell vectors:
Sm 0.0000 0.0000 0.0000  6 Sm 3.54-3.56, 6 Dy 3.56-3.57
Sm 0.3341 0.6659 0.0000  6 Sm 3.53-3.56, 6 Dy 3.56-3.58
Sm 0.6659 0.3341 0.0000  6 Sm 3.53-3.56, 6 Dy 3.56-3.58
Dy 0.0866 0.4191 0.2544  1 Mg 3.49, 2 Ho 3.49-3.50, 6 Dy 3.54-3.55, 3 Sm 3.57-3.58
Dy 0.2482 0.2482 0.7466  2 Ho 3.50, 1 Mg 3.50, 6 Dy 3.54-3.55, 3 Sm 3.56
Dy 0.4191 0.0866 0.2544  1 Mg 3.49, 2 Ho 3.49-3.50, 6 Dy 3.54-3.55, 3 Sm 3.57-3.58
Dy 0.5809 0.9134 0.7456  1 Mg 3.49, 2 Ho 3.49-3.50, 6 Dy 3.54-3.55, 3 Sm 3.57-3.58
Dy 0.7518 0.7518 0.2534  2 Ho 3.50, 1 Mg 3.50, 6 Dy 3.54-3.55, 3 Sm 3.56
Dy 0.9134 0.5809 0.7456  1 Mg 3.49, 2 Ho 3.49-3.50, 6 Dy 3.54-3.55, 3 Sm 3.57-3.58
Ho 0.1663 0.8337 0.5000  6 Dy 3.49-3.50, 3 Ho 3.54-3.55, 3 Mg 3.54-3.55
Ho 0.8337 0.1663 0.5000  6 Dy 3.49-3.50, 3 Ho 3.54-3.55, 3 Mg 3.54-3.55
Mg 0.5000 0.5000 0.5000  6 Dy 3.49-3.50, 6 Ho 3.54-3.55

This record from the Alexandria database describes a relaxed structure of Sm6Dy3Ho2Mg. The functional is GGA-PBE.

Output
The value obtained for the volume is 31.85 Å³ per atom. Its mass density is 7.58 g cm⁻³. As for the total energy: -52.6 eV per cell. The formation energy from the elements is 0.02 eV/atom.

Unit cell a=6.1867 b=6.1867 c=11.7192 alpha=95.07 beta=95.07 gamma=120.04
With the nearest neighbours (Å) after each atom.
Sites, in units of the cell vectors:
Sm 0.0821 0.4146 0.2480  1 Mg 3.52, 2 Ho 3.53, 3 Dy 3.56-3.57, 6 Sm 3.56-3.58
Sm 0.2506 0.2506 0.7507  2 Ho 3.54, 1 Mg 3.54, 3 Dy 3.55, 6 Sm 3.57-3.58
Sm 0.4146 0.0821 0.2480  1 Mg 3.52, 2 Ho 3.53, 3 Dy 3.56-3.57, 6 Sm 3.56-3.58
Sm 0.5854 0.9179 0.7520  1 Mg 3.52, 2 Ho 3.53, 3 Dy 3.56-3.57, 6 Sm 3.56-3.58
Sm 0.7494 0.7494 0.2493  2 Ho 3.54, 1 Mg 3.54, 3 Dy 3.55, 6 Sm 3.57-3.58
Sm 0.9179 0.5854 0.7520  1 Mg 3.52, 2 Ho 3.53, 3 Dy 3.56-3.57, 6 Sm 3.56-3.58
Dy 0.1664 0.8336 0.5000  6 Sm 3.55-3.57, 6 Dy 3.57-3.58
Dy 0.5000 0.5000 0.5000  6 Sm 3.55-3.56, 6 Dy 3.57-3.58
Dy 0.8336 0.1664 0.5000  6 Sm 3.55-3.57, 6 Dy 3.57-3.58
Ho 0.3336 0.6664 0.0000  6 Sm 3.53-3.54, 3 Ho 3.57, 3 Mg 3.57-3.58
Ho 0.6664 0.3336 0.0000  6 Sm 3.53-3.54, 3 Ho 3.57, 3 Mg 3.57-3.58
Mg 0.0000 0.0000 0.0000  6 Sm 3.52-3.54, 6 Ho 3.57-3.58

This record from the Alexandria database describes a relaxed structure of Sm4Dy2HoMg. The functional is GGA-PBE.

Output
The value obtained for the volume is 31.51 Å³ per atom. Its mass density is 7.35 g cm⁻³. As for the total energy: -34.2 eV per cell. The formation energy from the elements is 0.01 eV/atom.

Unit cell a=5.0282 b=5.0282 c=9.9694 alpha=90.00 beta=90.00 gamma=90.00
With the nearest neighbours (Å) after each atom.
Sites, in units of the cell vectors:
Sm 0.0000 0.5000 0.2468  4 Dy 3.52-3.56, 2 Mg 3.52, 4 Sm 3.56, 2 Ho 3.56
Sm 0.0000 0.5000 0.7532  4 Dy 3.52-3.56, 2 Mg 3.52, 4 Sm 3.56, 2 Ho 3.56
Sm 0.5000 0.0000 0.2468  4 Dy 3.52-3.56, 2 Mg 3.52, 4 Sm 3.56, 2 Ho 3.56
Sm 0.5000 0.0000 0.7532  4 Dy 3.52-3.56, 2 Mg 3.52, 4 Sm 3.56, 2 Ho 3.56
Dy 0.0000 0.0000 0.0000  8 Sm 3.52, 4 Mg 3.56
Dy 0.5000 0.5000 0.5000  4 Ho 3.56, 8 Sm 3.56
Ho 0.0000 0.0000 0.5000  4 Dy 3.56, 8 Sm 3.56
Mg 0.5000 0.5000 0.0000  8 Sm 3.52, 4 Dy 3.56

formation energy from the elements of number 1 (SmDy6Ho2Mg)?
0.12 eV/atom